(1)
NaTc3Hg after structural relaxation, computed with GGA-PBE.

Geometry as CIF:
```
data_NaTc3Hg
_chemical_formula_sum 'Na1 Tc3 Hg1'
_cell_length_a 4.554
_cell_length_b 4.554
_cell_length_c 4.554
_cell_angle_alpha 90.00
_cell_angle_beta 90.00
_cell_angle_gamma 90.00
_space_group_name_H-M_alt 'P m -3 m'
_space_group_IT_number 221
_space_group_name_Hall '-P 4 2 3'
loop_
_atom_site_label
_atom_site_fract_x
_atom_site_fract_y
_atom_site_fract_z
Na1 0.000 0.000 0.000
Tc1 0.000 0.000 0.500
Hg1 0.500 0.500 0.500
```

Total magnetization ... 4.57 Bohr magnetons per cell
Distance to the lowest polymorph of the same formula ... 130 meV/atom
Calculated density ... 9.101 g cm⁻³
Calculated volume ... 94.4 Å³/f.u.
Density of states at the Fermi level ... 1.250 states/eV per atom
Electronic total energy ... -20.5 eV for the cell shown
Formation enthalpy at 0 K ... 2.44 eV per atom



(2)
Tb5Pm12Y after structural relaxation, computed with GGA-PBE.

Geometry as CIF:
```
data_Tb5Pm12Y
_chemical_formula_sum 'Tb10 Pm24 Y2'
_cell_length_a 11.176
_cell_length_b 18.067
_cell_length_c 6.013
_cell_angle_alpha 90.00
_cell_angle_beta 90.05
_cell_angle_gamma 90.00
_space_group_name_H-M_alt 'C 1 2/m 1'
_space_group_IT_number 12
_space_group_name_Hall '-C 2y'
loop_
_atom_site_label
_atom_site_fract_x
_atom_site_fract_y
_atom_site_fract_z
Tb1 0.000 0.000 0.000
Tb2 0.000 0.167 0.500
Tb3 0.000 0.334 0.000
Pm1 0.162 0.000 0.488
Pm2 0.163 0.167 0.013
Pm3 0.163 0.333 0.487
Pm4 0.164 0.500 0.012
Y1 0.000 0.500 0.500
```

Total magnetization ... 0.00 Bohr magnetons per cell
Calculated density ... 7.176 g cm⁻³
Calculated volume ... 607.1 Å³/f.u.
Density of states at the Fermi level ... 2.095 states/eV per atom
Electronic total energy ... -169.3 eV for the cell shown
Formation enthalpy at 0 K ... 0.11 eV per atom



(3)
ErNpAl2O8 after structural relaxation, computed with GGA-PBE.

Geometry as CIF:
```
data_ErNpAl2O8
_chemical_formula_sum 'Er2 Np2 Al4 O16'
_cell_length_a 6.838
_cell_length_b 6.838
_cell_length_c 6.397
_cell_angle_alpha 90.00
_cell_angle_beta 90.00
_cell_angle_gamma 90.00
_space_group_name_H-M_alt 'I -4 m 2'
_space_group_IT_number 119
_space_group_name_Hall 'I -4 -2'
loop_
_atom_site_label
_atom_site_fract_x
_atom_site_fract_y
_atom_site_fract_z
Er1 0.000 0.000 0.000
Np1 0.000 0.500 0.250
Al1 0.000 0.000 0.500
Al2 0.000 0.500 0.750
O1 0.000 0.196 0.318
O2 0.000 0.321 0.946
```

Total magnetization ... 0.00 Bohr magnetons per cell
Calculated density ... 6.509 g cm⁻³
Calculated volume ... 149.6 Å³/f.u.
Raw formation energy ... -2791 meV/atom
Electronic total energy ... -196.3 eV for the cell shown



(4)
LiMnTe2 after structural relaxation, computed with GGA-PBE.

Geometry as CIF:
```
data_LiMnTe2
_chemical_formula_sum 'Li2 Mn2 Te4'
_cell_length_a 8.239
_cell_length_b 7.943
_cell_length_c 3.203
_cell_angle_alpha 90.00
_cell_angle_beta 112.50
_cell_angle_gamma 90.00
_space_group_name_H-M_alt 'C 1 2/m 1'
_space_group_IT_number 12
_space_group_name_Hall '-C 2y'
loop_
_atom_site_label
_atom_site_fract_x
_atom_site_fract_y
_atom_site_fract_z
Li1 0.000 0.000 0.000
Mn1 0.000 0.500 0.000
Te1 0.250 0.250 0.000
```

Total magnetization ... 9.04 Bohr magnetons per cell
Calculated density ... 5.438 g cm⁻³
Calculated volume ... 96.8 Å³/f.u.
Raw formation energy ... -220 meV/atom
Density of states at the Fermi level ... 0.172 states/eV per atom
Electronic total energy ... -36.5 eV for the cell shown



(5)
Pa2Al2GaIr5 after structural relaxation, computed with GGA-PBE.

Geometry as CIF:
```
data_Pa2Al2GaIr5
_chemical_formula_sum 'Pa4 Al4 Ga2 Ir10'
_cell_length_a 9.643
_cell_length_b 9.643
_cell_length_c 3.714
_cell_angle_alpha 90.00
_cell_angle_beta 90.00
_cell_angle_gamma 90.00
_space_group_name_H-M_alt 'P 4/m b m'
_space_group_IT_number 127
_space_group_name_Hall '-P 4 2ab'
loop_
_atom_site_label
_atom_site_fract_x
_atom_site_fract_y
_atom_site_fract_z
Pa1 0.181 0.319 0.000
Al1 0.117 0.617 0.000
Ga1 0.000 0.000 0.000
Ir1 0.000 0.500 0.500
Ir2 0.072 0.791 0.500
```

Total magnetization ... 0.00 Bohr magnetons per cell
Calculated density ... 14.878 g cm⁻³
Calculated volume ... 172.6 Å³/f.u.
Density of states at the Fermi level ... 0.669 states/eV per atom
Electronic total energy ... -159.5 eV for the cell shown
Formation enthalpy at 0 K ... -0.59 eV per atom



(6)
Pr7Co2Hg2 after structural relaxation, computed with GGA-PBE.

Geometry as CIF:
```
data_Pr7Co2Hg2
_chemical_formula_sum 'Pr14 Co4 Hg4'
_cell_length_a 3.781
_cell_length_b 16.579
_cell_length_c 10.187
_cell_angle_alpha 90.00
_cell_angle_beta 90.00
_cell_angle_gamma 90.00
_space_group_name_H-M_alt 'I m m 2'
_space_group_IT_number 44
_space_group_name_Hall 'I 2 -2'
loop_
_atom_site_label
_atom_site_fract_x
_atom_site_fract_y
_atom_site_fract_z
Pr1 0.000 0.000 0.000
Pr2 0.000 0.136 0.419
Pr3 0.000 0.316 0.617
Pr4 0.000 0.353 0.272
Co1 0.000 0.234 0.926
Hg1 0.000 0.000 0.660
Hg2 0.000 0.500 0.763
```

Total magnetization ... 0.00 Bohr magnetons per cell
Distance to the lowest polymorph of the same formula ... 0 meV/atom
Calculated density ... 7.829 g cm⁻³
Calculated volume ... 319.3 Å³/f.u.
Density of states at the Fermi level ... 1.174 states/eV per atom
Electronic total energy ... -100.4 eV for the cell shown
Formation enthalpy at 0 K ... -0.17 eV per atom



(7)
K4PrNd3Te8 after structural relaxation, computed with GGA-PBE.

Geometry as CIF:
```
data_K4PrNd3Te8
_chemical_formula_sum 'K12 Pr3 Nd9 Te24'
_cell_length_a 9.2546
_cell_length_b 9.2546
_cell_length_c 24.7832
_cell_angle_alpha 90.00
_cell_angle_beta 90.00
_cell_angle_gamma 120.00
_space_group_name_H-M_alt 'R -3 m'
_space_group_IT_number 166
_space_group_name_Hall '-R 3 2"'
loop_
_atom_site_label
_atom_site_fract_x
_atom_site_fract_y
_atom_site_fract_z
K1 0.0000 0.0000 0.0000
K2 0.0000 0.5000 0.0000
Pr1 0.0000 0.0000 0.5000
Nd1 0.0000 0.5000 0.5000
Te1 0.0000 0.0000 0.2382
Te2 0.0014 0.5007 0.7616
```

Total magnetization ... 0.00 Bohr magnetons per cell
Calculated density ... 4.745 g cm⁻³
Calculated volume ... 612.8 Å³/f.u.
Raw formation energy ... -1418 meV/atom
Electronic total energy ... -213.9 eV for the cell shown



(8)
Rb2LaCrCl6 after structural relaxation, computed with GGA-PBE.

Geometry as CIF:
```
data_Rb2LaCrCl6
_chemical_formula_sum 'Rb8 La4 Cr4 Cl24'
_cell_length_a 10.399
_cell_length_b 10.399
_cell_length_c 10.399
_cell_angle_alpha 90.00
_cell_angle_beta 90.00
_cell_angle_gamma 90.00
_space_group_name_H-M_alt 'F m -3 m'
_space_group_IT_number 225
_space_group_name_Hall '-F 4 2 3'
loop_
_atom_site_label
_atom_site_fract_x
_atom_site_fract_y
_atom_site_fract_z
Rb1 0.250 0.250 0.250
La1 0.000 0.000 0.000
Cr1 0.000 0.000 0.500
Cl1 0.000 0.000 0.268
```

Total magnetization ... 0.49 Bohr magnetons per cell
Calculated density ... 3.394 g cm⁻³
Calculated volume ... 281.1 Å³/f.u.
Raw formation energy ... -1549 meV/atom
Density of states at the Fermi level ... 0.786 states/eV per atom
Electronic total energy ... -172.2 eV for the cell shown



(9)
Ba4Sb2Te after structural relaxation, computed with GGA-PBE.

Geometry as CIF:
```
data_Ba4Sb2Te
_chemical_formula_sum 'Ba16 Sb8 Te4'
_cell_length_a 10.962
_cell_length_b 10.962
_cell_length_c 11.740
_cell_angle_alpha 90.00
_cell_angle_beta 90.00
_cell_angle_gamma 90.00
_space_group_name_H-M_alt 'I 41/a m d'
_space_group_IT_number 141
loop_
_space_group_symop_operation_xyz
'x,y,z'
'-x,-y,-z'
'-y+1/4,x+3/4,z+1/4'
'y+1/4,-x+3/4,-z+1/4'
'-x+1/2,-y,z+1/2'
'x+1/2,y,-z+1/2'
'y+1/4,-x+1/4,z+3/4'
'-y+1/4,x+1/4,-z+3/4'
'x,-y,-z'
'-x,y,z'
'-y+1/4,-x+1/4,-z+3/4'
'y+1/4,x+1/4,z+3/4'
'-x+1/2,y,-z+1/2'
'x+1/2,-y,z+1/2'
'y+1/4,x+3/4,-z+1/4'
'-y+1/4,-x+3/4,z+1/4'
'x+1/2,y+1/2,z+1/2'
'-x+1/2,-y+1/2,-z+1/2'
'-y+3/4,x+1/4,z+3/4'
'y+3/4,-x+1/4,-z+3/4'
'-x,-y+1/2,z'
'x,y+1/2,-z'
'y+3/4,-x+3/4,z+1/4'
'-y+3/4,x+3/4,-z+1/4'
'x+1/2,-y+1/2,-z+1/2'
'-x+1/2,y+1/2,z+1/2'
'-y+3/4,-x+3/4,-z+1/4'
'y+3/4,x+3/4,z+1/4'
'-x,y+1/2,-z'
'x,-y+1/2,z'
'y+3/4,x+1/4,-z+3/4'
'-y+3/4,-x+1/4,z+3/4'
loop_
_atom_site_label
_atom_site_fract_x
_atom_site_fract_y
_atom_site_fract_z
Ba1 0.000 0.057 0.217
Sb1 0.000 0.000 0.500
Te1 0.000 0.250 0.875
```

Total magnetization ... 0.00 Bohr magnetons per cell
Calculated density ... 4.334 g cm⁻³
Calculated volume ... 352.7 Å³/f.u.
Raw formation energy ... -1156 meV/atom
Electronic total energy ... -108.7 eV for the cell shown



(10)
Cd2Ag3Pt2 after structural relaxation, computed with GGA-PBE.

Geometry as CIF:
```
data_Cd2Ag3Pt2
_chemical_formula_sum 'Cd4 Ag6 Pt4'
_cell_length_a 9.258
_cell_length_b 4.148
_cell_length_c 6.525
_cell_angle_alpha 90.00
_cell_angle_beta 97.44
_cell_angle_gamma 90.00
_space_group_name_H-M_alt 'C 1 2/m 1'
_space_group_IT_number 12
_space_group_name_Hall '-C 2y'
loop_
_atom_site_label
_atom_site_fract_x
_atom_site_fract_y
_atom_site_fract_z
Cd1 0.140 0.000 0.423
Ag1 0.000 0.000 0.000
Ag2 0.212 0.500 0.135
Pt1 0.074 0.500 0.707
```

Total magnetization ... 0.00 Bohr magnetons per cell
Calculated density ... 12.545 g cm⁻³
Calculated volume ... 124.2 Å³/f.u.
Density of states at the Fermi level ... 0.352 states/eV per atom
Electronic total energy ... -46.5 eV for the cell shown
Formation enthalpy at 0 K ... -0.11 eV per atom



Question: Which value of calculated density does entry 3 give?
Answer: 6.509 g cm⁻³